## FeTc2Au (GGA-PBE)

Data for an optimized crystal structure of FeTc2Au.

calculated density = 12.885 g/cm³
DOS at the Fermi energy = 1.14 states/eV/atom
ΔH_f (0 K) = 0.238 eV/atom

Lattice parameters (Å, degrees): 2.706 2.706 7.897 90.00 90.00 90.00
Space group P4/mmm (No. 123)
Inequivalent atoms, fractional coordinates:
Fe 0.000 0.000 0.000 [1 per cell]
Tc 0.500 0.500 0.219 [2 per cell]
Au 0.000 0.000 0.500 [1 per cell]



## LiCaF3 (GGA-PBE)

Data for an optimized crystal structure of LiCaF3.

calculated density = 2.819 g/cm³
DOS at the Fermi energy = 0.00 states/eV/atom
E_tot = -5.34 eV per atom

Lattice parameters (Å, degrees): 5.308 3.457 6.678 90.00 90.00 90.00
Space group Pmma (No. 51)
Inequivalent atoms, fractional coordinates:
Li 0.250 0.000 0.155 [2 per cell]
Ca 0.250 0.500 0.647 [2 per cell]
F 0.000 0.000 0.500 [2 per cell]
F 0.250 0.000 0.873 [2 per cell]
F 0.250 0.500 0.256 [2 per cell]